Entry 1:
A relaxed Na2ScRuO4 crystal, computed with PBE-GGA.

a = 5.3354 Å, b = 3.1193 Å, c = 5.8070 Å
α = 90.00°, β = 108.60°, γ = 90.00°
Element x y z (fractional)
Na: 0.0000 0.0000 0.0000
Na: 0.5000 0.5000 0.0000
Sc: 0.0000 0.5000 0.5000
Ru: 0.5000 0.0000 0.5000
O: 0.2340 0.0000 0.7113
O: 0.2687 0.5000 0.2901
O: 0.7313 0.5000 0.7099
O: 0.7660 0.0000 0.2887

Calculated values
symmetry: P2/m (10)
ΔE_f (raw): -1.953 eV per atom
raw total energy: -6.712 eV/atom



Entry 2:
A relaxed GaTcI3 crystal, computed with PBE-GGA.

a = 5.6139 Å, b = 5.6139 Å, c = 5.6139 Å
α = 90.00°, β = 90.00°, γ = 90.00°
Element x y z (fractional)
Ga: 0.0000 0.0000 0.0000
Tc: 0.5000 0.5000 0.5000
I: 0.0000 0.5000 0.5000
I: 0.5000 0.0000 0.5000
I: 0.5000 0.5000 0.0000

Calculated values
symmetry: Pm-3m (221)
energy above the lowest structure with this stoichiometry: 0.000 eV/atom
ΔE_f (raw): 0.250 eV per atom
raw total energy: -3.359 eV/atom



Entry 3:
A relaxed Pr8SiS3I4 crystal, computed with PBE-GGA.

a = 9.1652 Å, b = 9.1652 Å, c = 9.1652 Å
α = 54.95°, β = 54.95°, γ = 54.95°
Element x y z (fractional)
Pr: 0.2234 0.7332 0.7332
Pr: 0.2280 0.2280 0.2280
Pr: 0.2668 0.2668 0.7766
Pr: 0.2668 0.7766 0.2668
Pr: 0.7332 0.2234 0.7332
Pr: 0.7332 0.7332 0.2234
Pr: 0.7720 0.7720 0.7720
Pr: 0.7766 0.2668 0.2668
Si: 0.5000 0.5000 0.5000
S: 0.0000 0.0000 0.5000
S: 0.0000 0.5000 0.0000
S: 0.5000 0.0000 0.0000
I: 0.0000 0.0000 0.0000
I: 0.0000 0.5000 0.5000
I: 0.5000 0.0000 0.5000
I: 0.5000 0.5000 0.0000

Calculated values
symmetry: R-3m (166)
ΔE_f (raw): -1.370 eV per atom
raw total energy: -5.260 eV/atom